(1)
This record from Alexandria describes a geometry-optimized Ho4InRu2Rh structure. The functional is GGA-PBE.

Unit cell a=4.9045 b=4.9045 c=24.2590 alpha=90.00 beta=90.00 gamma=120.00
Closest atoms and distances in Å follow each position.
Space group R-3m (No. 166, hexagonal axes)
Asymmetric unit:
Ho: 0.0000 0.0000 0.1180  1 Rh 2.86, 4 Ru 2.94-3.17, 3 In 3.07
Ho: 0.0000 0.0000 0.3705  4 Ru 2.96-3.06, 3 Rh 2.97, 1 In 3.14
In: 0.0000 0.0000 0.5000  8 Ho 3.07-3.14
Ru: 0.0000 0.0000 0.2486  8 Ho 2.94-3.17
Rh: 0.0000 0.0000 0.0000  8 Ho 2.86-2.97

Calculated values
DFT formation energy ... -49.5 kJ/mol of atoms
DOS(E_F) ... 12.5 states/eV/cell
VASP energy ... -6.382 eV/atom

=====

(2)
This record from Alexandria describes a geometry-optimized Ho4InRuRh2 structure. The functional is GGA-PBE.

Unit cell a=4.9152 b=4.9152 c=24.4602 alpha=90.00 beta=90.00 gamma=120.00
Closest atoms and distances in Å follow each position.
Space group R-3m (No. 166, hexagonal axes)
Asymmetric unit:
Ho: 0.0000 0.0000 0.1163  1 Ru 2.85, 3 Rh 2.95, 3 In 3.09
Ho: 0.0000 0.0000 0.3695  4 Rh 2.91-3.06, 3 Ru 2.97, 1 In 3.19
In: 0.0000 0.0000 0.5000  8 Ho 3.09-3.19
Ru: 0.0000 0.0000 0.0000  8 Ho 2.85-2.97
Rh: 0.0000 0.0000 0.2504  7 Ho 2.91-3.06

Calculated values
DFT formation energy ... -60.4 kJ/mol of atoms
DOS(E_F) ... 12.3 states/eV/cell
VASP energy ... -6.255 eV/atom

=====

(3)
This record from Alexandria describes a geometry-optimized HoSc2InRh4 structure. The functional is GGA-PBE.

Unit cell a=4.6292 b=4.6292 c=22.6496 alpha=90.00 beta=90.00 gamma=120.00
Closest atoms and distances in Å follow each position.
Space group R-3m (No. 166, hexagonal axes)
Asymmetric unit:
Ho: 0.0000 0.0000 0.0000  8 Rh 2.82-2.84
Sc: 0.0000 0.0000 0.2449  8 Rh 2.73-2.97
In: 0.0000 0.0000 0.5000  8 Rh 2.81-2.84
Rh: 0.0000 0.0000 0.1246  4 Sc 2.73-2.80, 1 Ho 2.82, 3 In 2.84
Rh: 0.0000 0.0000 0.3761  1 In 2.81, 3 Ho 2.84, 4 Sc 2.87-2.97

Calculated values
DFT formation energy ... -85.0 kJ/mol of atoms
DOS(E_F) ... 7.8 states/eV/cell
VASP energy ... -7.055 eV/atom

=====

(4)
This record from Alexandria describes a geometry-optimized SmHo2InRh4 structure. The functional is GGA-PBE.

Unit cell a=4.7957 b=4.7957 c=23.3945 alpha=90.00 beta=90.00 gamma=120.00
Closest atoms and distances in Å follow each position.
Space group R-3m (No. 166, hexagonal axes)
Asymmetric unit:
Sm: 0.0000 0.0000 0.0000  8 Rh 2.92-2.95
Ho: 0.0000 0.0000 0.2441  8 Rh 2.80-3.11
In: 0.0000 0.0000 0.5000  8 Rh 2.87-2.94
Rh: 0.0000 0.0000 0.1246  4 Ho 2.80-2.89, 1 Sm 2.92, 3 In 2.94
Rh: 0.0000 0.0000 0.3772  1 In 2.87, 3 Sm 2.95, 4 Ho 2.97-3.11

Calculated values
DFT formation energy ... -74.8 kJ/mol of atoms
DOS(E_F) ... 6.7 states/eV/cell
VASP energy ... -6.527 eV/atom

=====

(5)
This record from Alexandria describes a geometry-optimized Sm2HoIn2Rh5 structure. The functional is GGA-PBE.

Unit cell a=10.4042 b=10.4042 c=3.7310 alpha=90.00 beta=90.00 gamma=90.00
Closest atoms and distances in Å follow each position.
Space group P4/mbm (No. 127)
Asymmetric unit:
Sm: 0.1699 0.3301 0.0000  3 In 2.98-3.13, 2 Rh 3.12
Ho: 0.0000 0.0000 0.0000  8 Rh 2.88
In: 0.1277 0.6277 0.0000  6 Rh 2.65-2.66
Rh: 0.0000 0.5000 0.5000  4 In 2.65
Rh: 0.0633 0.7986 0.5000  2 In 2.66, 2 Ho 2.88

Calculated values
DFT formation energy ... -52.0 kJ/mol of atoms
DOS(E_F) ... 11.4 states/eV/cell
VASP energy ... -6.164 eV/atom

=====

(6)
This record from Alexandria describes a geometry-optimized Ho2Ta2InRh5 structure. The functional is GGA-PBE.

Unit cell a=10.1415 b=10.1415 c=3.7017 alpha=90.00 beta=90.00 gamma=90.00
Closest atoms and distances in Å follow each position.
Space group P4/mbm (No. 127)
Asymmetric unit:
Ho: 0.1762 0.3238 0.0000  3 Ta 2.87-3.09, 2 Rh 3.13
Ta: 0.1234 0.6234 0.0000  6 Rh 2.56-2.59
In: 0.0000 0.0000 0.0000  8 Rh 2.89
Rh: 0.0000 0.5000 0.5000  4 Ta 2.56
Rh: 0.0618 0.7904 0.5000  2 Ta 2.59, 2 In 2.89

Calculated values
DFT formation energy ... -40.2 kJ/mol of atoms
DOS(E_F) ... 16.2 states/eV/cell
VASP energy ... -7.652 eV/atom

=====

(7)
This record from Alexandria describes a geometry-optimized TbHoInRh structure. The functional is GGA-PBE.

Unit cell a=7.2083 b=7.2083 c=7.2083 alpha=90.00 beta=90.00 gamma=90.00
Closest atoms and distances in Å follow each position.
Space group F-43m (No. 216)
Asymmetric unit:
Tb: 0.0000 0.0000 0.0000  4 In 3.12, 4 Rh 3.12
Ho: 0.0000 0.0000 0.5000  4 In 3.12, 4 Rh 3.12
In: 0.2500 0.2500 0.7500  4 Tb 3.12, 4 Ho 3.12
Rh: 0.2500 0.2500 0.2500  4 Tb 3.12, 4 Ho 3.12

Calculated values
DFT formation energy ... -54.1 kJ/mol of atoms
DOS(E_F) ... 8.9 states/eV/cell
VASP energy ... -5.385 eV/atom

=====

(8)
This record from Alexandria describes a geometry-optimized TbHoInRh structure. The functional is GGA-PBE.

Unit cell a=3.5291 b=3.5291 c=7.5258 alpha=90.00 beta=90.00 gamma=90.00
Closest atoms and distances in Å follow each position.
Space group P4mm (No. 99)
Asymmetric unit:
Tb: 0.0000 0.0000 0.0000  4 Rh 3.01, 1 Ho 3.27, 4 In 3.29
Ho: 0.0000 0.0000 0.5657  4 Rh 2.96, 4 In 3.27, 1 Tb 3.27
In: 0.5000 0.5000 0.2857  4 Ho 3.27, 4 Tb 3.29, 4 In 3.53
Rh: 0.5000 0.5000 0.7775  4 Ho 2.96, 4 Tb 3.01

Calculated values
DFT formation energy ... -65.6 kJ/mol of atoms
DOS(E_F) ... 1.5 states/eV/cell
VASP energy ... -5.505 eV/atom

=====

(9)
This record from Alexandria describes a geometry-optimized Ho2Ti2InRh5 structure. The functional is GGA-PBE.

Unit cell a=9.9674 b=9.9674 c=3.6386 alpha=90.00 beta=90.00 gamma=90.00
Closest atoms and distances in Å follow each position.
Space group P4/mbm (No. 127)
Asymmetric unit:
Ho: 0.1806 0.3194 0.0000  3 Ti 2.83-3.05, 6 Rh 3.13
Ti: 0.1186 0.6186 0.0000  6 Rh 2.47-2.54
In: 0.0000 0.0000 0.0000  8 Rh 2.86
Rh: 0.0000 0.5000 0.5000  4 Ti 2.47
Rh: 0.0659 0.7884 0.5000  2 Ti 2.54

Calculated values
DFT formation energy ... -61.2 kJ/mol of atoms
DOS(E_F) ... 6.9 states/eV/cell
VASP energy ... -7.078 eV/atom

=====

(10)
This record from Alexandria describes a geometry-optimized HoTmInRh structure. The functional is GGA-PBE.

Unit cell a=3.4984 b=3.4984 c=7.4663 alpha=90.00 beta=90.00 gamma=90.00
Closest atoms and distances in Å follow each position.
Space group P4mm (No. 99)
Asymmetric unit:
Ho: 0.0000 0.0000 0.0000  4 Rh 2.98, 1 Tm 3.24, 4 In 3.27
Tm: 0.0000 0.0000 0.4335  4 Rh 2.93, 1 Ho 3.24, 4 In 3.24
In: 0.5000 0.5000 0.7140  4 Tm 3.24, 4 Ho 3.27, 4 In 3.50
Rh: 0.5000 0.5000 0.2224  4 Tm 2.93, 4 Ho 2.98

Calculated values
DFT formation energy ... -68.3 kJ/mol of atoms
DOS(E_F) ... 1.3 states/eV/cell
VASP energy ... -5.492 eV/atom

=====

(11)
This record from Alexandria describes a geometry-optimized HoTmInRh structure. The functional is GGA-PBE.

Unit cell a=7.1423 b=7.1423 c=7.1423 alpha=90.00 beta=90.00 gamma=90.00
Closest atoms and distances in Å follow each position.
Space group F-43m (No. 216)
Asymmetric unit:
Ho: 0.0000 0.0000 0.0000  4 In 3.09, 4 Rh 3.09
Tm: 0.0000 0.0000 0.5000  4 In 3.09, 4 Rh 3.09
In: 0.2500 0.2500 0.2500  4 Ho 3.09, 4 Tm 3.09
Rh: 0.2500 0.2500 0.7500  4 Ho 3.09, 4 Tm 3.09

Calculated values
DFT formation energy ... -56.6 kJ/mol of atoms
DOS(E_F) ... 6.6 states/eV/cell
VASP energy ... -5.372 eV/atom

=====

(12)
This record from Alexandria describes a geometry-optimized Ho5ZnIn2Rh2 structure. The functional is GGA-PBE.

Unit cell a=11.5428 b=11.5428 c=3.6346 alpha=90.00 beta=90.00 gamma=90.00
Closest atoms and distances in Å follow each position.
Space group P4/mbm (No. 127)
Asymmetric unit:
Ho: 0.0000 0.5000 0.0000  4 Rh 2.83
Ho: 0.0737 0.2001 0.0000  2 Rh 2.74, 2 Zn 3.06
Zn: 0.0000 0.0000 0.5000  8 Ho 3.06
In: 0.1752 0.6752 0.5000  1 Rh 3.13, 6 Ho 3.39-3.43
Rh: 0.1329 0.3671 0.5000  6 Ho 2.74-2.83

Calculated values
DFT formation energy ... -55.0 kJ/mol of atoms
DOS(E_F) ... 11.2 states/eV/cell
VASP energy ... -5.004 eV/atom